Entry 1:
First-principles (PBE) data for a relaxed structure of LaThZn4, as listed in Alexandria.

As for the space group: F-43m, No. 216. For the formation energy, the calculation gives -0.272 eV per atom. The energy relative to the lowest polymorph listed for this composition is 0.219 eV/f.u. The value obtained for the calculated density is 8.4 g cm⁻³. For the density of states at the Fermi level, the calculation gives 3.0 states/eV/f.u. The total magnetic moment comes out at 0.00 Bohr magnetons per cell.

a b c (Å): 5.604 5.604 5.604
angles (deg): 60.00 60.00 60.00
Fractional coordinates of all 6 atoms:
La (0.000, 0.000, 0.000)
Th (0.750, 0.750, 0.750)
Zn (0.375, 0.375, 0.375)
Zn (0.375, 0.375, 0.875)
Zn (0.375, 0.875, 0.375)
Zn (0.875, 0.375, 0.375)


Entry 2:
First-principles (PBE) data for a relaxed structure of HfMn2Pt2, as listed in Alexandria.

As for the space group: I4/mmm, No. 139. For the formation energy, the calculation gives -0.280 eV per atom. The energy relative to the lowest polymorph listed for this composition is 0.000 eV/f.u. The value obtained for the calculated density is 14.4 g cm⁻³. For the density of states at the Fermi level, the calculation gives 4.5 states/eV/f.u. The total magnetic moment comes out at 0.00 Bohr magnetons per cell.

a b c (Å): 3.384 3.384 13.622
angles (deg): 90.00 90.00 90.00
Fractional coordinates of all 10 atoms:
Hf (0.000, 0.000, 0.000)
Hf (0.500, 0.500, 0.500)
Mn (0.000, 0.500, 0.250)
Mn (0.000, 0.500, 0.750)
Mn (0.500, 0.000, 0.250)
Mn (0.500, 0.000, 0.750)
Pt (0.000, 0.000, 0.398)
Pt (0.000, 0.000, 0.602)
Pt (0.500, 0.500, 0.102)
Pt (0.500, 0.500, 0.898)


Entry 3:
First-principles (PBE) data for a relaxed structure of SrZn3Rh, as listed in Alexandria.

As for the space group: Amm2, No. 38. For the formation energy, the calculation gives 0.103 eV per atom. The energy relative to the lowest polymorph listed for this composition is 2.250 eV/f.u. The value obtained for the calculated density is 5.1 g cm⁻³. For the density of states at the Fermi level, the calculation gives 3.0 states/eV/f.u. The total magnetic moment comes out at 0.00 Bohr magnetons per cell.

a b c (Å): 3.719 4.925 13.819
angles (deg): 90.00 90.00 90.00
Fractional coordinates of all 10 atoms:
Sr (0.000, 0.000, 0.000)
Sr (0.000, 0.500, 0.500)
Zn (0.000, 0.243, 0.210)
Zn (0.000, 0.257, 0.710)
Zn (0.000, 0.743, 0.710)
Zn (0.000, 0.757, 0.210)
Zn (0.500, 0.000, 0.806)
Zn (0.500, 0.500, 0.306)
Rh (0.500, 0.000, 0.616)
Rh (0.500, 0.500, 0.116)


Entry 4:
First-principles (PBE) data for a relaxed structure of KLi2ErI6, as listed in Alexandria.

As for the space group: R3, No. 146. The value obtained for the calculated density is 4.2 g cm⁻³. For the density of states at the Fermi level, the calculation gives 0.0 states/eV/f.u. The total magnetic moment comes out at 0.00 Bohr magnetons per cell. For the formation energy without anion corrections, the calculation gives -125.1 kJ per mole of atoms.

a b c (Å): 8.507 8.507 8.507
angles (deg): 54.95 54.95 54.95
Fractional coordinates of all 10 atoms:
K (0.000, 0.000, 0.000)
Li (0.195, 0.195, 0.195)
Li (0.702, 0.702, 0.702)
Er (0.515, 0.515, 0.515)
I (0.108, 0.450, 0.776)
I (0.342, 0.929, 0.542)
I (0.450, 0.776, 0.108)
I (0.542, 0.342, 0.929)
I (0.776, 0.108, 0.450)
I (0.929, 0.542, 0.342)


Entry 5:
First-principles (PBE) data for a relaxed structure of RbNaF2, as listed in Alexandria.

As for the space group: P4/mmm, No. 123. The energy relative to the lowest polymorph listed for this composition is 0.692 eV/f.u. The value obtained for the calculated density is 3.7 g cm⁻³. For the density of states at the Fermi level, the calculation gives 0.0 states/eV/f.u. The total magnetic moment comes out at 0.08 Bohr magnetons per cell. For the formation energy without anion corrections, the calculation gives -239.6 kJ per mole of atoms.

a b c (Å): 3.190 3.190 6.381
angles (deg): 90.00 90.00 90.00
Fractional coordinates of all 4 atoms:
Rb (0.000, 0.000, 0.000)
Na (0.000, 0.000, 0.500)
F (0.500, 0.500, 0.278)
F (0.500, 0.500, 0.722)


Entry 6:
First-principles (PBE) data for a relaxed structure of NdSm2GeN4, as listed in Alexandria.

As for the space group: Cmcm, No. 63. The value obtained for the calculated density is 7.6 g cm⁻³. For the density of states at the Fermi level, the calculation gives 0.9 states/eV/f.u. The total magnetic moment comes out at 0.00 Bohr magnetons per cell. For the formation energy without anion corrections, the calculation gives -92.8 kJ per mole of atoms.

a b c (Å): 6.094 6.094 11.921
angles (deg): 90.00 90.00 145.61
Fractional coordinates of all 16 atoms:
Nd (0.101, 0.899, 0.750)
Nd (0.899, 0.101, 0.250)
Sm (0.369, 0.631, 0.544)
Sm (0.369, 0.631, 0.956)
Sm (0.631, 0.369, 0.044)
Sm (0.631, 0.369, 0.456)
Ge (0.164, 0.836, 0.250)
Ge (0.836, 0.164, 0.750)
N (0.000, 0.000, 0.000)
N (0.000, 0.000, 0.500)
N (0.272, 0.728, 0.131)
N (0.272, 0.728, 0.369)
N (0.421, 0.579, 0.750)
N (0.579, 0.421, 0.250)
N (0.728, 0.272, 0.631)
N (0.728, 0.272, 0.869)


Entry 7:
First-principles (PBE) data for a relaxed structure of ReTcW2, as listed in Alexandria.

As for the space group: Cmmm, No. 65. For the formation energy, the calculation gives 0.121 eV per atom. The energy relative to the lowest polymorph listed for this composition is 0.181 eV/f.u. The value obtained for the calculated density is 17.4 g cm⁻³. For the density of states at the Fermi level, the calculation gives 3.7 states/eV/f.u. The total magnetic moment comes out at 0.00 Bohr magnetons per cell.

a b c (Å): 3.121 4.497 8.848
angles (deg): 90.00 90.00 90.00
Fractional coordinates of all 8 atoms:
Re (0.000, 0.000, 0.000)
Re (0.500, 0.500, 0.000)
Tc (0.000, 0.000, 0.500)
Tc (0.500, 0.500, 0.500)
W (0.000, 0.500, 0.251)
W (0.000, 0.500, 0.749)
W (0.500, 0.000, 0.251)
W (0.500, 0.000, 0.749)


Entry 8:
First-principles (PBE) data for a relaxed structure of LiY2ZnN, as listed in Alexandria.

As for the space group: P4/mmm, No. 123. The value obtained for the calculated density is 4.7 g cm⁻³. For the density of states at the Fermi level, the calculation gives 4.8 states/eV/f.u. The total magnetic moment comes out at 0.00 Bohr magnetons per cell. For the formation energy without anion corrections, the calculation gives -64.9 kJ per mole of atoms.

a b c (Å): 4.819 4.819 4.030
angles (deg): 90.00 90.00 90.00
Fractional coordinates of all 5 atoms:
Li (0.000, 0.000, 0.000)
Y (0.000, 0.500, 0.500)
Y (0.500, 0.000, 0.500)
Zn (0.500, 0.500, 0.000)
N (0.000, 0.000, 0.500)


Entry 9:
First-principles (PBE) data for a relaxed structure of CaCe4Sn5, as listed in Alexandria.

As for the space group: P4/mmm, No. 123. For the formation energy, the calculation gives -0.572 eV per atom. The value obtained for the calculated density is 7.0 g cm⁻³. For the density of states at the Fermi level, the calculation gives 21.3 states/eV/f.u. The total magnetic moment comes out at 4.10 Bohr magnetons per cell.

a b c (Å): 4.145 4.145 16.385
angles (deg): 90.00 90.00 90.00
Fractional coordinates of all 10 atoms:
Ca (0.000, 0.000, 0.000)
Ce (0.000, 0.000, 0.214)
Ce (0.000, 0.000, 0.400)
Ce (0.000, 0.000, 0.600)
Ce (0.000, 0.000, 0.786)
Sn (0.500, 0.500, 0.108)
Sn (0.500, 0.500, 0.305)
Sn (0.500, 0.500, 0.500)
Sn (0.500, 0.500, 0.695)
Sn (0.500, 0.500, 0.892)


Entry 10:
First-principles (PBE) data for a relaxed structure of SiNiPH, as listed in Alexandria.

As for the space group: Pm, No. 6. The energy relative to the lowest polymorph listed for this composition is 0.223 eV/f.u. The value obtained for the calculated density is 4.3 g cm⁻³. For the density of states at the Fermi level, the calculation gives 0.8 states/eV/f.u. The total magnetic moment comes out at 0.00 Bohr magnetons per cell.

a b c (Å): 3.466 2.519 5.505
angles (deg): 90.00 108.17 90.00
Fractional coordinates of all 4 atoms:
Si (0.000, 0.000, 0.000)
Ni (0.758, 0.500, 0.613)
P (0.174, 0.000, 0.446)
H (0.478, 0.000, 0.031)


Entry 11:
First-principles (PBE) data for a relaxed structure of Sm2Ho4Al, as listed in Alexandria.

As for the space group: R-3m, No. 166. For the formation energy, the calculation gives -0.031 eV per atom. The value obtained for the calculated density is 7.7 g cm⁻³. For the density of states at the Fermi level, the calculation gives 11.0 states/eV/f.u. The total magnetic moment comes out at 0.60 Bohr magnetons per cell.

a b c (Å): 19.119 19.119 19.119
angles (deg): 10.81 10.81 10.81
Fractional coordinates of all 7 atoms:
Sm (0.193, 0.193, 0.193)
Sm (0.807, 0.807, 0.807)
Ho (0.090, 0.090, 0.090)
Ho (0.294, 0.294, 0.294)
Ho (0.706, 0.706, 0.706)
Ho (0.910, 0.910, 0.910)
Al (0.000, 0.000, 0.000)


Entry 12:
First-principles (PBE) data for a relaxed structure of LiMn2Fe, as listed in Alexandria.

As for the space group: F-43m, No. 216. For the formation energy, the calculation gives 0.272 eV per atom. The energy relative to the lowest polymorph listed for this composition is 0.198 eV/f.u. The value obtained for the calculated density is 6.5 g cm⁻³. For the density of states at the Fermi level, the calculation gives 3.4 states/eV/f.u. The total magnetic moment comes out at 3.80 Bohr magnetons per cell.

a b c (Å): 5.622 5.622 5.622
angles (deg): 90.00 90.00 90.00
Fractional coordinates of all 16 atoms:
Li (0.000, 0.000, 0.000)
Li (0.000, 0.500, 0.500)
Li (0.500, 0.000, 0.500)
Li (0.500, 0.500, 0.000)
Mn (0.000, 0.000, 0.500)
Mn (0.000, 0.500, 0.000)
Mn (0.250, 0.250, 0.750)
Mn (0.250, 0.750, 0.250)
Mn (0.500, 0.000, 0.000)
Mn (0.500, 0.500, 0.500)
Mn (0.750, 0.250, 0.250)
Mn (0.750, 0.750, 0.750)
Fe (0.250, 0.250, 0.250)
Fe (0.250, 0.750, 0.750)
Fe (0.750, 0.250, 0.750)
Fe (0.750, 0.750, 0.250)


Entry 13:
First-principles (PBE) data for a relaxed structure of V2Pd3Pt3, as listed in Alexandria.

As for the space group: R32, No. 155. For the formation energy, the calculation gives -0.254 eV per atom. The energy relative to the lowest polymorph listed for this composition is 0.025 eV/f.u. The value obtained for the calculated density is 13.6 g cm⁻³. For the density of states at the Fermi level, the calculation gives 6.2 states/eV/f.u. The total magnetic moment comes out at 0.00 Bohr magnetons per cell.

a b c (Å): 4.979 4.979 4.979
angles (deg): 93.29 93.29 93.29
Fractional coordinates of all 8 atoms:
V (0.232, 0.232, 0.232)
V (0.768, 0.768, 0.768)
Pd (0.224, 0.776, 0.500)
Pd (0.500, 0.224, 0.776)
Pd (0.776, 0.500, 0.224)
Pt (0.000, 0.293, 0.707)
Pt (0.293, 0.707, 0.000)
Pt (0.707, 0.000, 0.293)


Entry 14:
First-principles (PBE) data for a relaxed structure of CaYZrAg2, as listed in Alexandria.

As for the space group: P4/mmm, No. 123. For the formation energy, the calculation gives 0.786 eV per atom. The value obtained for the calculated density is 5.0 g cm⁻³. For the density of states at the Fermi level, the calculation gives 5.2 states/eV/f.u. The total magnetic moment comes out at 0.00 Bohr magnetons per cell.

a b c (Å): 5.255 5.255 5.254
angles (deg): 90.00 90.00 90.00
Fractional coordinates of all 5 atoms:
Ca (0.000, 0.000, 0.000)
Y (0.500, 0.500, 0.000)
Zr (0.000, 0.000, 0.500)
Ag (0.000, 0.500, 0.500)
Ag (0.500, 0.000, 0.500)


Entry 15:
First-principles (PBE) data for a relaxed structure of KLi2Pa2S6, as listed in Alexandria.

As for the space group: P-1, No. 2. The value obtained for the calculated density is 4.0 g cm⁻³. For the density of states at the Fermi level, the calculation gives 9.0 states/eV/f.u. The total magnetic moment comes out at 1.10 Bohr magnetons per cell. For the formation energy without anion corrections, the calculation gives -142.6 kJ per mole of atoms.

a b c (Å): 6.805 7.130 7.156
angles (deg): 60.36 85.26 78.31
Fractional coordinates of all 11 atoms:
K (0.000, 0.000, 0.000)
Li (0.499, 0.614, 0.753)
Li (0.501, 0.386, 0.247)
Pa (0.002, 0.332, 0.335)
Pa (0.998, 0.668, 0.665)
S (0.228, 0.565, 0.395)
S (0.229, 0.952, 0.615)
S (0.249, 0.368, 0.003)
S (0.751, 0.632, 0.997)
S (0.771, 0.048, 0.385)
S (0.772, 0.435, 0.605)


Entry 16:
First-principles (PBE) data for a relaxed structure of CaMg3, as listed in Alexandria.

As for the space group: Fm-3m, No. 225. For the formation energy, the calculation gives -0.053 eV per atom. The value obtained for the calculated density is 1.8 g cm⁻³. For the density of states at the Fermi level, the calculation gives 2.1 states/eV/f.u. The total magnetic moment comes out at 0.00 Bohr magnetons per cell.

a b c (Å): 7.471 7.471 7.471
angles (deg): 90.00 90.00 90.00
Fractional coordinates of all 16 atoms:
Ca (0.000, 0.000, 0.000)
Ca (0.000, 0.500, 0.500)
Ca (0.500, 0.000, 0.500)
Ca (0.500, 0.500, 0.000)
Mg (0.000, 0.000, 0.500)
Mg (0.000, 0.500, 0.000)
Mg (0.250, 0.250, 0.250)
Mg (0.250, 0.250, 0.750)
Mg (0.250, 0.750, 0.250)
Mg (0.250, 0.750, 0.750)
Mg (0.500, 0.000, 0.000)
Mg (0.500, 0.500, 0.500)
Mg (0.750, 0.250, 0.250)
Mg (0.750, 0.250, 0.750)
Mg (0.750, 0.750, 0.250)
Mg (0.750, 0.750, 0.750)


Entry 17:
First-principles (PBE) data for a relaxed structure of MnSiOs2, as listed in Alexandria.

As for the space group: C2/m, No. 12. The value obtained for the calculated density is 14.3 g cm⁻³. For the density of states at the Fermi level, the calculation gives 3.1 states/eV/f.u. The total magnetic moment comes out at 4.76 Bohr magnetons per cell. For the formation energy without anion corrections, the calculation gives -2.4 kJ per mole of atoms.

a b c (Å): 8.424 2.757 4.781
angles (deg): 90.00 103.54 90.00
Fractional coordinates of all 8 atoms:
Mn (0.000, 0.000, 0.000)
Mn (0.500, 0.500, 0.000)
Si (0.000, 0.500, 0.500)
Si (0.500, 0.000, 0.500)
Os (0.240, 0.000, 0.751)
Os (0.260, 0.500, 0.249)
Os (0.740, 0.500, 0.751)
Os (0.760, 0.000, 0.249)